An optimized crystal structure of CeTmRh, computed with GGA-PBE.

abc: 4.8171 4.8171 4.8171
angles: 60.00 60.00 60.00
With the nearest neighbours (Å) after each atom.
Element x y z (fractional)
Rh 0.2500 0.2500 0.2500  4 Ce 2.95, 4 Tm 2.95
Ce 0.5000 0.5000 0.5000  4 Rh 2.95
Tm 0.0000 0.0000 0.0000  4 Rh 2.95

Calculated values
Total magnetization in μB/f.u.: 0.99
V in Å³ per cell: 79
Energy relative to the lowest polymorph listed for this composition in meV per atom: 121

=====

An optimized crystal structure of CeTm3Rh2, computed with GGA-PBE.

abc: 6.7368 6.9816 8.2758
angles: 114.95 114.02 90.00
With the nearest neighbours (Å) after each atom.
Element x y z (fractional)
Tm 0.7574 0.5074 0.5148  4 Rh 2.88-2.93
Tm 0.7574 0.0074 0.5148  4 Rh 2.88-2.93
Tm 0.2426 0.4926 0.4852  4 Rh 2.88-2.93
Tm 0.5000 0.2500 0.0000  4 Rh 2.93
Rh 0.5977 0.3680 0.7360  1 Ce 2.54
Ce 0.0000 0.0000 0.0000  2 Rh 2.54
Tm 0.2426 0.9926 0.4852  4 Rh 2.88-2.93
Tm 0.5000 0.7500 0.0000  4 Rh 2.93
Rh 0.8617 0.1320 0.2640  1 Ce 2.54
Rh 0.1383 0.8680 0.7360  1 Ce 2.54
Ce 0.0000 0.5000 0.0000  2 Rh 2.54
Rh 0.4023 0.6320 0.2640  1 Ce 2.54

Calculated values
Total magnetization in μB/f.u.: 0.72
E in eV for the cell shown: -75.073
V in Å³ per cell: 315

=====

An optimized crystal structure of Ce5TmRh4, computed with GGA-PBE.

abc: 4.4369 6.8224 7.9475
angles: 81.66 106.21 90.00
With the nearest neighbours (Å) after each atom.
Element x y z (fractional)
Ce 0.8315 0.0800 0.6629  3 Rh 2.71-3.00, 1 Ce 2.88
Rh 0.0116 0.2557 0.0233  3 Ce 2.76-3.05, 2 Tm 2.84
Ce 0.8105 0.5063 0.6211  3 Ce 2.88-2.90, 2 Rh 3.00
Ce 0.1895 0.4937 0.3789  3 Ce 2.88-2.90, 2 Rh 3.00
Rh 0.9884 0.7443 0.9767  3 Ce 2.76-3.05, 2 Tm 2.84
Tm 0.5000 0.0000 0.0000  6 Rh 2.84-2.99
Rh 0.3446 0.7810 0.6892  6 Ce 2.71-3.00, 1 Tm 2.99
Ce 0.5000 0.5000 0.0000  6 Rh 2.76-2.82
Rh 0.6554 0.2190 0.3108  6 Ce 2.71-3.00, 1 Tm 2.99
Ce 0.1685 0.9200 0.3371  3 Rh 2.71-3.00, 1 Ce 2.88

Calculated values
Total magnetization in μB/f.u.: 0.79
E in eV for the cell shown: -69.263
V in Å³ per cell: 228